Model w:
## FeAgAu2 (GGA-PBE)

Data for a relaxed structure of FeAgAu2.

Properties
The spin magnetization comes out at 0.80 μB per atom.

Geometry as POSCAR:
```
FeAgAu2
1.0
-2.1051 2.1051 3.7842
2.1051 -2.1051 3.7842
2.1051 2.1051 -3.7842
Fe Ag Au
1 1 2
Cartesian
0.0000 0.0000 0.0000 Fe
0.0000 0.0000 3.7842 Ag
2.1051 0.0000 1.8921 Au
0.0000 2.1051 1.8921 Au
```



Model x:
## FeAgAu2 (GGA-PBE)

Data for a relaxed structure of FeAgAu2.

Properties
The spin magnetization comes out at 0.75 μB per atom.

Geometry as POSCAR:
```
FeAgAu2
1.0
2.8691 0.0000 0.0000
0.0000 2.8691 0.0000
0.0000 0.0000 8.0761
Fe Ag Au
1 1 2
Cartesian
0.0000 0.0000 0.0000 Fe
0.0000 0.0000 4.0381 Ag
1.4346 1.4346 1.8531 Au
1.4346 1.4346 6.2230 Au
```



Model y:
## FeAgAu2 (GGA-PBE)

Data for a relaxed structure of FeAgAu2.

Properties
The spin magnetization comes out at 0.77 μB per atom.

Geometry as POSCAR:
```
FeAgAu2
1.0
1.4659 0.8463 9.0513
-1.4659 0.8463 9.0513
0.0000 -1.6926 9.0513
Fe Ag Au
1 1 2
Cartesian
0.0000 0.0000 0.0000 Fe
0.0000 0.0000 13.5769 Ag
0.0000 0.0000 6.9356 Au
0.0000 0.0000 20.2181 Au
```



Model z:
## FeAgAu2 (GGA-PBE)

Data for a relaxed structure of FeAgAu2.

Properties
The spin magnetization comes out at 0.77 μB per atom.

Geometry as POSCAR:
```
FeAgAu2
1.0
1.4466 0.8352 9.3015
-1.4466 0.8352 9.3015
0.0000 -1.6704 9.3015
Fe Ag Au
1 1 2
Cartesian
0.0000 0.0000 0.0000 Fe
0.0000 0.0000 20.8120 Ag
0.0000 0.0000 7.1611 Au
0.0000 0.0000 13.9612 Au
```



The least stable of them is model z.



Model w:
## FeAgAu2 (GGA-PBE)

Data for a relaxed structure of FeAgAu2.

Properties
The spin magnetization comes out at 0.74 μB per atom.

Geometry as POSCAR:
```
FeAgAu2
1.0
2.8524 0.0000 0.0000
0.0000 2.8524 0.0000
0.0000 0.0000 8.2003
Fe Ag Au
1 1 2
Cartesian
0.0000 0.0000 0.0000 Fe
1.4262 1.4262 1.9366 Ag
0.0000 0.0000 4.1082 Au
1.4262 1.4262 6.3535 Au
```



Model x:
## FeAgAu2 (GGA-PBE)

Data for a relaxed structure of FeAgAu2.

Properties
The spin magnetization comes out at 0.76 μB per atom.

Geometry as POSCAR:
```
FeAgAu2
1.0
4.7673 -1.4380 0.0000
4.7673 1.4380 0.0000
-0.8634 0.0000 4.8748
Fe Ag Au
1 1 2
Cartesian
0.0000 0.0000 0.0000 Fe
6.8921 0.0000 1.2799 Ag
1.7987 0.0000 3.8034 Au
4.3544 0.0000 2.4554 Au
```



The least stable of them is model x.



Model w:
## FeAgAu (GGA-PBE)

Data for a relaxed structure of FeAgAu.

Properties
The spin magnetization comes out at 1.01 μB per atom.

Geometry as POSCAR:
```
FeAgAu
1.0
-1.4099 1.4099 6.0982
1.4099 -1.4099 6.0982
1.4099 1.4099 -6.0982
Fe Ag Au
1 1 1
Cartesian
0.0000 0.0000 0.0000 Fe
0.0000 0.0000 8.0546 Ag
0.0000 0.0000 4.2042 Au
```



Model x:
## FeAgAu (GGA-PBE)

Data for a relaxed structure of FeAgAu.

Properties
The spin magnetization comes out at 0.97 μB per atom.

Geometry as POSCAR:
```
FeAgAu
1.0
4.7162 0.0000 0.0000
0.0000 2.8520 0.0000
-1.5487 0.0000 7.2030
Fe Ag Au
2 2 2
Cartesian
0.3625 0.7130 0.8816 Fe
2.8050 2.1390 6.3214 Fe
0.4073 2.1390 3.2429 Ag
2.7602 0.7130 3.9601 Ag
0.4470 0.7130 5.8635 Au
2.7205 2.1390 1.3395 Au
```



Model y:
## FeAgAu (GGA-PBE)

Data for a relaxed structure of FeAgAu.

Properties
The spin magnetization comes out at 1.00 μB per atom.

Geometry as POSCAR:
```
FeAgAu
1.0
2.8565 0.0000 0.0000
-1.4282 2.4738 0.0000
0.0000 0.0000 6.9183
Fe Ag Au
1 1 1
Cartesian
0.0000 0.0000 0.0000 Fe
0.0000 1.6492 2.2364 Ag
1.4282 0.8246 4.7336 Au
```



The least stable of them is model y.



Model w:
## FeAgAu (GGA-PBE)

Data for a relaxed structure of FeAgAu.

Properties
The spin magnetization comes out at 1.06 μB per atom.

Geometry as POSCAR:
```
FeAgAu
1.0
0.0000 3.0441 3.0441
3.0441 0.0000 3.0441
3.0441 3.0441 0.0000
Fe Ag Au
1 1 1
Cartesian
0.0000 0.0000 0.0000 Fe
1.5221 1.5221 1.5221 Ag
4.5662 4.5662 4.5662 Au
```



Model x:
## FeAgAu (GGA-PBE)

Data for a relaxed structure of FeAgAu.

Properties
The spin magnetization comes out at 1.03 μB per atom.

Geometry as POSCAR:
```
FeAgAu
1.0
-1.4394 1.9656 4.2803
1.4394 -1.9656 4.2803
1.4394 1.9656 -4.2803
Fe Ag Au
1 1 1
Cartesian
0.0000 0.0000 0.0000 Fe
0.0000 0.0000 5.7041 Ag
0.0000 0.0000 2.9236 Au
```



The least stable of them is model w.